A geometry-optimized NiSn2Pb2 structure. Source: Alexandria via LeMat-Bulk, functional PBE.

Computed properties:
* theoretical density: 9018 kg/m3
* E: -0.305 Ry/atom
* volume: 26.17 A^3/atom
* formation enthalpy at 0 K: 0.08 eV per atom

a b c (Å): 6.821 6.821 5.624
angles (deg): 90.00 90.00 90.00
Atoms (fractional coordinates):
Ni1 0.500 0.500 0.000
Sn1 0.655 0.155 0.000
Pb1 0.826 0.326 0.500
Sn2 0.845 0.655 0.000
Pb2 0.326 0.174 0.500
Pb3 0.174 0.674 0.500
Ni2 0.000 0.000 0.000
Sn3 0.155 0.345 0.000
Sn4 0.345 0.845 0.000
Pb4 0.674 0.826 0.500